The following is a PBE-GGA calculation of a relaxed TmPu2Co crystal, from Alexandria.

Computed properties:
formation enthalpy at 0 K = 1.29 eV/f.u.
energy above the lowest structure with this stoichiometry = 0.207 eV per atom

```
data_TmPu2Co
_cell_length_a 3.4475
_cell_length_b 3.4475
_cell_length_c 29.2596
_cell_angle_alpha 90.00
_cell_angle_beta 90.00
_cell_angle_gamma 120.00
_space_group_name_H-M_alt 'R -3 m'
_space_group_IT_number 166
_space_group_name_Hall '-R 3 2"'
loop_
_atom_site_label
_atom_site_type_symbol
_atom_site_fract_x
_atom_site_fract_y
_atom_site_fract_z
Tm1 Tm 0.0000 0.0000 0.0000
Pu1 Pu 0.0000 0.0000 0.1074
Co1 Co 0.0000 0.0000 0.5000
```